A relaxed Y3AlN crystal. Source: the Alexandria database, functional PBE-GGA.

Values from the calculation:
* space-group type: P2_1/c (14)
* raw formation energy: -62 kJ/mol of atoms
* E_tot: -6.934 eV per atom

extended XYZ file:
```
20
Lattice="9.357 0.000 0.000 0.000 6.741 0.000 -4.130 0.000 7.762" Properties=species:S:1:pos:R:3 pbc="T T T"
Y -0.788 0.203 2.070
Y -2.852 3.168 5.951
Y 2.093 1.688 1.116
Y 0.028 1.682 4.997
Y -0.263 4.729 7.329
Y 1.802 5.383 3.448
Y 3.424 1.358 4.314
Y 5.489 2.012 0.433
Y 5.199 5.059 2.765
Y 3.134 5.053 6.646
Y 8.079 3.574 1.811
Y 6.014 6.538 5.692
Al 0.978 5.054 0.521
Al -1.087 5.058 4.402
Al 6.314 1.683 3.360
Al 4.249 1.687 7.241
N 1.370 0.905 3.220
N -0.695 2.466 7.101
N 5.921 4.276 0.661
N 3.856 5.837 4.542
```

=====

A relaxed Th3NpSi7 crystal. Source: the Alexandria database, functional PBE-GGA.

Values from the calculation:
* space-group type: Cmcm (63)
* raw formation energy: -46 kJ/mol of atoms
* E_tot: -7.132 eV per atom

extended XYZ file:
```
22
Lattice="2.097 -9.437 0.000 2.097 9.437 0.000 0.000 0.000 11.659" Properties=species:S:1:pos:R:3 pbc="T T T"
Th 2.097 7.396 6.367
Th 2.097 7.396 11.122
Th 2.097 4.893 2.915
Th 2.097 -4.893 8.744
Th 2.097 -7.396 0.537
Th 2.097 -7.396 5.292
Np 2.097 8.670 2.915
Np 2.097 -8.670 8.744
Si 2.097 4.357 6.247
Si 2.097 4.357 11.242
Si 2.097 2.426 7.568
Si 2.097 2.426 9.921
Si 2.097 1.721 2.915
Si 2.097 0.077 6.984
Si 2.097 0.077 10.505
Si 2.097 -0.077 1.155
Si 2.097 -0.077 4.675
Si 2.097 -1.721 8.744
Si 2.097 -2.426 1.738
Si 2.097 -2.426 4.092
Si 2.097 -4.357 0.418
Si 2.097 -4.357 5.412
```

=====

A relaxed Tl6Bi3Pt crystal. Source: the Alexandria database, functional PBE-GGA.

Values from the calculation:
* space-group type: P2_1/c (14)
* E_tot: -3.215 eV per atom
* E_form: -0.617 kcal/mol of atoms

extended XYZ file:
```
20
Lattice="9.249 0.000 0.000 0.000 6.784 0.000 -9.042 0.000 9.911" Properties=species:S:1:pos:R:3 pbc="T T T"
Tl -2.939 0.904 4.165
Tl -7.460 2.487 9.120
Tl -1.588 3.927 4.426
Tl -6.108 6.249 9.382
Tl -3.151 5.064 7.230
Tl 1.370 5.112 2.274
Tl -1.163 1.672 7.637
Tl 3.358 1.720 2.681
Tl 6.316 0.535 0.529
Tl 1.795 2.857 5.485
Tl 7.668 4.296 0.791
Tl 3.147 5.879 5.746
Bi -4.534 1.656 7.139
Bi -0.013 1.736 2.183
Bi 0.104 0.000 4.955
Bi 4.625 3.392 0.000
Bi 0.220 5.048 7.728
Bi 4.741 5.128 2.772
Pt 0.000 0.000 0.000
Pt -4.521 3.392 4.955
```

=====

A relaxed La2ThSb3Pt4 crystal. Source: the Alexandria database, functional PBE-GGA.

Values from the calculation:
* space-group type: P-4m2 (115)
* raw formation energy: -92 kJ/mol of atoms
* E_tot: -6.333 eV per atom

extended XYZ file:
```
10
Lattice="4.693 0.000 0.000 0.000 4.693 0.000 0.000 0.000 11.247" Properties=species:S:1:pos:R:3 pbc="T T T"
La 0.000 2.346 2.321
La 2.346 0.000 8.926
Th 0.000 0.000 5.624
Sb 0.000 2.346 9.851
Sb 2.346 0.000 1.396
Sb 2.346 2.346 5.624
Pt 0.000 0.000 0.000
Pt 0.000 2.346 7.241
Pt 2.346 0.000 4.006
Pt 2.346 2.346 0.000
```

=====

| no. | density of states at the Fermi level (states/eV/cell) |
| --- | --- |
| 1 | 14.5 |
| 2 | 25.9 |
| 3 | 9.2 |
| 4 | 5.9 |